No. 1
# LaYHo2Er5, relaxed, DFT PBE
# calculated formation energy: 2.6 eV per formula unit
# final energy: -40.8 eV per formula unit
data_LaYHo2Er5
_chemical_formula_sum 'La4 Y4 Ho8 Er20'
_cell_length_a 8.970
_cell_length_b 8.970
_cell_length_c 14.559
_cell_angle_alpha 90.00
_cell_angle_beta 90.00
_cell_angle_gamma 90.00
_space_group_name_H-M_alt 'I 4/m c m'
_space_group_IT_number 140
_space_group_name_Hall '-I 4 2c'
loop_
_atom_site_label
_atom_site_type_symbol
_atom_site_fract_x
_atom_site_fract_y
_atom_site_fract_z
_atom_site_occupancy
La1 La 0.000 0.000 0.250 1
Y1 Y 0.000 0.500 0.250 1
Ho1 Ho 0.112 0.388 0.000 1
Er1 Er 0.000 0.000 0.000 1
Er2 Er 0.205 0.295 0.371 1



No. 2
# CaNbGa2Pd, relaxed, DFT PBE
# calculated formation energy: 2.0 eV per formula unit
# final energy: -21.3 eV per formula unit
data_CaNbGa2Pd
_chemical_formula_sum 'Ca1 Nb1 Ga2 Pd1'
_cell_length_a 4.787
_cell_length_b 4.787
_cell_length_c 5.127
_cell_angle_alpha 90.00
_cell_angle_beta 90.00
_cell_angle_gamma 90.00
_space_group_name_H-M_alt 'P 4/m m m'
_space_group_IT_number 123
_space_group_name_Hall '-P 4 2'
loop_
_atom_site_label
_atom_site_type_symbol
_atom_site_fract_x
_atom_site_fract_y
_atom_site_fract_z
_atom_site_occupancy
Ca1 Ca 0.000 0.000 0.000 1
Nb1 Nb 0.500 0.500 0.000 1
Ga1 Ga 0.000 0.500 0.500 1
Pd1 Pd 0.000 0.000 0.500 1



No. 3
# V2HgOs, relaxed, DFT PBE
# calculated formation energy: 2.4 eV per formula unit
# final energy: -27.3 eV per formula unit
data_V2HgOs
_chemical_formula_sum 'V8 Hg4 Os4'
_cell_length_a 7.129
_cell_length_b 7.129
_cell_length_c 5.430
_cell_angle_alpha 90.00
_cell_angle_beta 90.00
_cell_angle_gamma 90.00
_space_group_name_H-M_alt 'I -4 2 d'
_space_group_IT_number 122
_space_group_name_Hall 'I -4 2bw'
loop_
_atom_site_label
_atom_site_type_symbol
_atom_site_fract_x
_atom_site_fract_y
_atom_site_fract_z
_atom_site_occupancy
V1 V 0.203 0.250 0.125 1
Hg1 Hg 0.000 0.000 0.500 1
Os1 Os 0.000 0.000 0.000 1



No. 4
# Th6InGe2Te3, relaxed, DFT PBE
# raw formation energy: -848 meV per atom
# final energy: -76.1 eV per formula unit
data_Th6InGe2Te3
_chemical_formula_sum 'Th12 In2 Ge4 Te6'
_cell_length_a 19.371
_cell_length_b 4.425
_cell_length_c 8.911
_cell_angle_alpha 90.00
_cell_angle_beta 103.43
_cell_angle_gamma 90.00
_space_group_name_H-M_alt 'C 1 2/m 1'
_space_group_IT_number 12
loop_
_space_group_symop_operation_xyz
'x,y,z'
'-x,-y,-z'
'-x,y,-z'
'x,-y,z'
'x+1/2,y+1/2,z'
'-x+1/2,-y+1/2,-z'
'-x+1/2,y+1/2,-z'
'x+1/2,-y+1/2,z'
loop_
_atom_site_label
_atom_site_type_symbol
_atom_site_fract_x
_atom_site_fract_y
_atom_site_fract_z
_atom_site_occupancy
Th1 Th 0.011 0.000 0.250 1
Th2 Th 0.167 0.500 0.111 1
Th3 Th 0.174 0.500 0.568 1
In1 In 0.000 0.500 0.000 1
Ge1 Ge 0.168 0.000 0.337 1
Te1 Te 0.000 0.500 0.500 1
Te2 Te 0.163 0.000 0.835 1



No. 5
# FeTe3S, relaxed, DFT PBE
# energy above the lowest structure with this stoichiometry: 0.00 eV/f.u.
# raw formation energy: 624 meV per atom
# final energy: -18.9 eV per formula unit
data_FeTe3S
_chemical_formula_sum 'Fe1 Te3 S1'
_cell_length_a 4.967
_cell_length_b 4.967
_cell_length_c 4.967
_cell_angle_alpha 90.00
_cell_angle_beta 90.00
_cell_angle_gamma 90.00
_space_group_name_H-M_alt 'P m -3 m'
_space_group_IT_number 221
_space_group_name_Hall '-P 4 2 3'
loop_
_atom_site_label
_atom_site_type_symbol
_atom_site_fract_x
_atom_site_fract_y
_atom_site_fract_z
_atom_site_occupancy
Fe1 Fe 0.000 0.000 0.000 1
Te1 Te 0.000 0.000 0.500 1
S1 S 0.500 0.500 0.500 1



No. 6
# LiIr2Br, relaxed, DFT PBE
# energy above the lowest structure with this stoichiometry: 0.98 eV/f.u.
# raw formation energy: 345 meV per atom
# final energy: -19.9 eV per formula unit
data_LiIr2Br
_chemical_formula_sum 'Li2 Ir4 Br2'
_cell_length_a 3.508
_cell_length_b 3.508
_cell_length_c 15.331
_cell_angle_alpha 90.00
_cell_angle_beta 90.00
_cell_angle_gamma 90.00
_space_group_name_H-M_alt 'I 4/m m m'
_space_group_IT_number 139
_space_group_name_Hall '-I 4 2'
loop_
_atom_site_label
_atom_site_type_symbol
_atom_site_fract_x
_atom_site_fract_y
_atom_site_fract_z
_atom_site_occupancy
Li1 Li 0.000 0.000 0.000 1
Ir1 Ir 0.000 0.500 0.250 1
Br1 Br 0.000 0.000 0.500 1